[1]
Density functional theory data (PBE) for crystalline GaBrF at its relaxed geometry.

Cell: 4.7841 5.4243 6.7921 Å, 68.35 86.93 72.77°
With the nearest neighbours (Å) after each atom.
Element x y z (fractional)
Ga: 0.1627 0.1310 0.0148  2 F 1.91-2.08
Ga: 0.8373 0.8690 0.9852  2 F 1.91-2.08
Br: 0.1576 0.3428 0.2691  1 Ga 2.40
Br: 0.8424 0.6572 0.7309  1 Ga 2.40
F: 0.4680 0.1923 0.8270  2 Ga 1.91-2.08
F: 0.5320 0.8077 0.1730  2 Ga 1.91-2.08

**Formation energy from raw total energies**: -1.51 eV/atom
**Mass density**: 3.6 Mg/m³
**N(E_F)**: 0.00 states/eV/f.u.
**Space-group type**: P-1 (2)
**Energy above the lowest structure with this stoichiometry**: 0 meV/atom
**Magnetization**: 0.00 μB/atom



[2]
Density functional theory data (PBE) for crystalline SrSbPb at its relaxed geometry.

Cell: 10.4979 9.4408 7.9459 Å, 73.72 59.68 46.60°
With the nearest neighbours (Å) after each atom.
Element x y z (fractional)
Sr: 0.0026 0.0026 0.2474  4 Sb 3.19-3.26
Sr: 0.2474 0.2474 0.0026  4 Sb 3.19-3.26
Sr: 0.7526 0.7526 0.9974  4 Sb 3.19-3.26
Sr: 0.9974 0.9974 0.7526  4 Sb 3.19-3.26
Sb: 0.0719 0.6781 0.0719  4 Sr 3.19-3.26, 2 Pb 3.30
Sb: 0.3219 0.9281 0.3219  4 Sr 3.19-3.26, 2 Pb 3.30
Sb: 0.6781 0.0719 0.6781  4 Sr 3.19-3.26, 2 Pb 3.30
Sb: 0.9281 0.3219 0.9281  4 Sr 3.19-3.26, 2 Pb 3.30
Pb: 0.0000 0.5000 0.5000  2 Sb 3.30
Pb: 0.5000 0.0000 0.5000  2 Sb 3.30
Pb: 0.5000 0.5000 0.0000  2 Sb 3.30
Pb: 0.5000 0.5000 0.5000  2 Sb 3.30

**Formation energy from raw total energies**: -0.31 eV/atom
**Mass density**: 5.6 Mg/m³
**N(E_F)**: 1.76 states/eV/f.u.
**Space-group type**: Fddd (70)
**Energy above the lowest structure with this stoichiometry**: 230 meV/atom
**Magnetization**: 0.00 μB/atom